First-principles (PBE) data for an optimized crystal structure of TbPm2Mg6, as listed in the Alexandria database.

As for the final energy: -2.724 eV/atom. Its formation energy is -91 meV/atom.

a b c (Å): 9.1551 9.1551 3.3185
angles (deg): 90.00 90.00 120.00
Last column: nearest neighbours and their distance in Å.
Space group P6/mmm (No. 191)
Unique sites:
Tb: 0.0000 0.0000 0.0000 (multiplicity 1)  2 Tb 3.32, 12 Mg 3.46
Pm: 0.3333 0.6667 0.0000 (multiplicity 2)  2 Pm 3.32, 12 Mg 3.48
Mg: 0.0000 0.3312 0.5000 (multiplicity 6)  5 Mg 3.03-3.32